Here is a relaxed structure of Fe2I from the Open Quantum Materials Database. Energies are from PBE.

The calculation puts the total energy at -4.8321 eV per atom. The energy above the most stable polymorph in this dataset comes out at 394 meV per atom.

The structure belongs to space group P4_2/mnm (No. 136); the cell edges are 5.2187, 5.2187 and 4.5846 Å and the angles 90.00°, 90.00° and 90.00°. The distinct sites, in fractional coordinates, are Fe at (0.1580, 0.1580, 0.0000) and I at (0.0000, 0.0000, 0.5000).